Entry 1:
# KMg5Ga2

Crystalline KMg5Ga2 at its relaxed geometry (PBE, Alexandria via LeMat-Bulk).

The calculated formation energy comes out at -71 meV per atom. As for the total DFT energy (no corrections): -31.38 eV/cell. For the volume, the calculation gives 410 Å³ per cell.

The structure belongs to space group Immm (No. 71); the cell edges are 4.564, 8.247 and 10.887 Å and the angles 90.00°, 90.00° and 90.00°. Symmetry generates all atoms from K at (0.000, 0.000, 0.000), Mg at (0.000, 0.182, 0.338), Mg at (0.000, 0.500, 0.000) and Ga at (0.000, 0.500, 0.252).



Entry 2:
# SiTcSb2

Crystalline SiTcSb2 at its relaxed geometry (PBE, Alexandria via LeMat-Bulk).

As for the formation energy from raw total energies: 3.5 kJ per mole of atoms. As for the total DFT energy (no corrections): -47.78 eV/cell. For the volume, the calculation gives 175 Å³ per cell.

The structure belongs to space group Cm (No. 8); the cell edges are 8.264, 3.326 and 6.463 Å and the angles 90.00°, 100.66° and 90.00°. Symmetry generates all atoms from Si at (0.000, 0.000, 0.000), Tc at (0.279, 0.000, 0.926), Sb at (0.047, 0.500, 0.657) and Sb at (0.282, 0.500, 0.268).



Entry 3:
# Ga2Pb2O5

Crystalline Ga2Pb2O5 at its relaxed geometry (PBE, Alexandria via LeMat-Bulk).

As for the formation energy from raw total energies: -138.6 kJ per mole of atoms. As for the total DFT energy (no corrections): -102.39 eV/cell. For the volume, the calculation gives 264 Å³ per cell.

The structure belongs to space group C2/m (No. 12); the cell edges are 11.118, 4.047 and 5.965 Å and the angles 90.00°, 100.92° and 90.00°. Symmetry generates all atoms from Ga at (0.150, 0.000, 0.398), Pb at (0.115, 0.500, 0.850), O at (0.000, 0.000, 0.500), O at (0.167, 0.000, 0.088) and O at (0.177, 0.500, 0.458).



Entry 4:
# HgTeIr2

Crystalline HgTeIr2 at its relaxed geometry (PBE, Alexandria via LeMat-Bulk).

As for the formation energy from raw total energies: 75.7 kJ per mole of atoms. As for the total DFT energy (no corrections): -72.11 eV/cell. For the volume, the calculation gives 296 Å³ per cell.

The structure belongs to space group F-43m (No. 216); the cell edges are 6.665, 6.665 and 6.665 Å and the angles 90.00°, 90.00° and 90.00°. Symmetry generates all atoms from Hg at (0.000, 0.000, 0.000), Te at (0.250, 0.250, 0.750), Ir at (0.000, 0.000, 0.500) and Ir at (0.250, 0.250, 0.250).



Entry 5:
# Cu5Pd8Au

Crystalline Cu5Pd8Au at its relaxed geometry (PBE, Alexandria via LeMat-Bulk).

The calculated formation energy comes out at 90 meV per atom. As for the total DFT energy (no corrections): -128.09 eV/cell. For the volume, the calculation gives 429 Å³ per cell.

The structure belongs to space group I-4 (No. 82); the cell edges are 7.502, 7.502 and 7.626 Å and the angles 90.00°, 90.00° and 90.00°. Symmetry generates all atoms from Cu at (0.000, 0.000, 0.000), Cu at (0.126, 0.216, 0.410), Pd at (0.069, 0.332, 0.085), Pd at (0.097, 0.163, 0.736) and Au at (0.000, 0.500, 0.750).



Entry 6:
# CsYP2S

Crystalline CsYP2S at its relaxed geometry (PBE, Alexandria via LeMat-Bulk).

As for the formation energy from raw total energies: 106.1 kJ per mole of atoms. As for the total DFT energy (no corrections): -16.77 eV/cell. For the volume, the calculation gives 146 Å³ per cell.

The structure belongs to space group P4/mmm (No. 123); the cell edges are 5.338, 5.338 and 5.131 Å and the angles 90.00°, 90.00° and 90.00°. Symmetry generates all atoms from Cs at (0.000, 0.000, 0.000), Y at (0.500, 0.500, 0.500), P at (0.000, 0.500, 0.000) and S at (0.000, 0.000, 0.500).



Entry 7:
# Th2Mg3In

Crystalline Th2Mg3In at its relaxed geometry (PBE, Alexandria via LeMat-Bulk).

The calculated formation energy comes out at -94 meV per atom. As for the total DFT energy (no corrections): -183.40 eV/cell. For the volume, the calculation gives 1276 Å³ per cell.

The structure belongs to space group Fmmm (No. 69); the cell edges are 6.860, 10.368 and 17.946 Å and the angles 90.00°, 90.00° and 90.00°. Symmetry generates all atoms from Th at (0.250, 0.000, 0.000), Th at (0.250, 0.250, 0.250), Mg at (0.000, 0.000, 0.167), Mg at (0.000, 0.249, 0.417) and In at (0.000, 0.000, 0.334).



Entry 8:
# HoTmF

Crystalline HoTmF at its relaxed geometry (PBE, Alexandria via LeMat-Bulk).

As for the formation energy from raw total energies: -149.4 kJ per mole of atoms. As for the total DFT energy (no corrections): -62.26 eV/cell. For the volume, the calculation gives 272 Å³ per cell.

The structure belongs to space group C2/m (No. 12); the cell edges are 13.141, 3.477 and 7.059 Å and the angles 90.00°, 122.37° and 90.00°. Symmetry generates all atoms from Ho at (0.232, 0.000, 0.264), Tm at (0.006, 0.500, 0.778) and F at (0.154, 0.000, 0.875).



Entry 9:
# Zr7V5N2

Crystalline Zr7V5N2 at its relaxed geometry (PBE, Alexandria via LeMat-Bulk).

As for the formation energy from raw total energies: -45.5 kJ per mole of atoms. As for the total DFT energy (no corrections): -514.73 eV/cell. For the volume, the calculation gives 932 Å³ per cell.

The structure belongs to space group Imma (No. 74); the cell edges are 8.682, 8.730 and 12.302 Å and the angles 90.00°, 90.00° and 90.00°. Symmetry generates all atoms from Zr at (0.000, 0.000, 0.000), Zr at (0.000, 0.250, 0.189), Zr at (0.000, 0.250, 0.560), Zr at (0.184, 0.062, 0.374), V at (0.000, 0.099, 0.787), V at (0.166, 0.250, 0.941), V at (0.250, 0.250, 0.750), N at (0.000, 0.000, 0.500) and N at (0.250, 0.250, 0.250).



Entry 10:
# Mg3NiP

Crystalline Mg3NiP at its relaxed geometry (PBE, Alexandria via LeMat-Bulk).

The calculated formation energy comes out at 262 meV per atom. As for the total DFT energy (no corrections): -14.67 eV/cell. For the volume, the calculation gives 110 Å³ per cell.

The structure belongs to space group Pm-3m (No. 221); the cell edges are 4.795, 4.795 and 4.795 Å and the angles 90.00°, 90.00° and 90.00°. Symmetry generates all atoms from Mg at (0.000, 0.000, 0.500), Ni at (0.500, 0.500, 0.500) and P at (0.000, 0.000, 0.000).



Entry 11:
# Li2TiIrPd

Crystalline Li2TiIrPd at its relaxed geometry (PBE, Alexandria via LeMat-Bulk).

The calculated formation energy comes out at 480 meV per atom. As for the total DFT energy (no corrections): -23.38 eV/cell. For the volume, the calculation gives 84 Å³ per cell.

The structure belongs to space group P4/mmm (No. 123); the cell edges are 4.140, 4.140 and 4.914 Å and the angles 90.00°, 90.00° and 90.00°. Symmetry generates all atoms from Li at (0.000, 0.500, 0.000), Ti at (0.000, 0.000, 0.500), Ir at (0.500, 0.500, 0.500) and Pd at (0.000, 0.000, 0.000).



> Number 8 is which compound?

HoTmF



> The lowest total DFT energy (no corrections) belongs to which entry?

Zr7V5N2



> Look up the total DFT energy (no corrections) of the sixth one.

-16.77 eV/cell